This record from Alexandria via LeMat-Bulk describes an optimized crystal structure of Zn3CrF. The functional is PBE+U.

Values from the calculation:
- offset from the most stable computed form (meV/atom) = 128
- space group = Pm-3m, No. 221
- magnetization (μB/cell) = 0.87
- E (eV/atom) = -2.2615
- N(E_F) (states/eV per cell) = 1.45

abc: 4.342 4.342 4.342
angles: 90.00 90.00 90.00
Atoms (fractional coordinates):
Cr (0.500, 0.500, 0.500)
Zn (0.000, 0.500, 0.000)
Zn (0.000, 0.000, 0.500)
Zn (0.500, 0.000, 0.000)
F (0.000, 0.000, 0.000)